A relaxed structure of Ac3ZnSi2. Source: the Alexandria database, functional GGA-PBE.

## Properties
As for the electronic total energy: -158.817 eV for the cell shown. As for the energy relative to the elements, uncorrected: -0.337 eV/atom. For the energy above the most stable polymorph in this dataset, the calculation gives 0.768 eV per formula unit. For the magnetization, the calculation gives 0.00 μB/cell.

The structure in CIF format:
```
data_Ac3ZnSi2
_chemical_formula_sum 'Ac18 Zn6 Si12'
_space_group_name_H-M_alt 'R -3 c'
_space_group_IT_number 167
_space_group_name_Hall '-R 3 2"c'
_cell_length_a 8.7450
_cell_length_b 8.7450
_cell_length_c 17.3602
_cell_angle_alpha 90.00
_cell_angle_beta 90.00
_cell_angle_gamma 120.00
loop_
_atom_site_label
_atom_site_fract_x
_atom_site_fract_y
_atom_site_fract_z
Ac1 0.0000 0.2978 0.2500
Zn1 0.0000 0.0000 0.0000
Si1 0.0000 0.0000 0.1386
```